P.
Density functional theory data (PBE-GGA) for a relaxed structure of Tl2SbPb2.

Size of the total moment   0.00 μB/cell
SG   No. 139

```
data_Tl2SbPb2
_cell_length_a 4.363
_cell_length_b 4.363
_cell_length_c 9.186
_cell_angle_alpha 76.26
_cell_angle_beta 76.26
_cell_angle_gamma 90.00
_symmetry_space_group_name_H-M 'P 1'
_symmetry_Int_Tables_number 1
_symmetry_space_group_name_Hall 'P 1'
loop_
_atom_site_label
_atom_site_type_symbol
_atom_site_fract_x
_atom_site_fract_y
_atom_site_fract_z
Tl1 Tl 0.750 0.250 0.500
Tl2 Tl 0.250 0.750 0.500
Pb1 Pb 0.590 0.590 0.821
Pb2 Pb 0.410 0.410 0.179
Sb1 Sb 0.000 0.000 0.000
```

***

Q.
Density functional theory data (PBE-GGA) for a relaxed structure of Tl2SbPb2.

Size of the total moment   0.00 μB/cell
SG   No. 12

```
data_Tl2SbPb2
_cell_length_a 5.529
_cell_length_b 6.481
_cell_length_c 10.787
_cell_angle_alpha 100.80
_cell_angle_beta 75.15
_cell_angle_gamma 64.75
_symmetry_space_group_name_H-M 'P 1'
_symmetry_Int_Tables_number 1
_symmetry_space_group_name_Hall 'P 1'
loop_
_atom_site_label
_atom_site_type_symbol
_atom_site_fract_x
_atom_site_fract_y
_atom_site_fract_z
Tl1 Tl 0.109 0.735 0.047
Tl2 Tl 0.309 0.726 0.657
Tl3 Tl 0.891 0.265 0.953
Tl4 Tl 0.691 0.274 0.343
Pb1 Pb 0.324 0.207 0.145
Pb2 Pb 0.917 0.737 0.429
Pb3 Pb 0.083 0.263 0.571
Pb4 Pb 0.676 0.793 0.855
Sb1 Sb 0.555 0.179 0.712
Sb2 Sb 0.445 0.821 0.288
```

***

R.
Density functional theory data (PBE-GGA) for a relaxed structure of Tl2SbPb2.

Size of the total moment   0.00 μB/cell
SG   No. 127

```
data_Tl2SbPb2
_cell_length_a 8.187
_cell_length_b 8.187
_cell_length_c 4.980
_cell_angle_alpha 90.00
_cell_angle_beta 90.00
_cell_angle_gamma 90.00
_symmetry_space_group_name_H-M 'P 1'
_symmetry_Int_Tables_number 1
_symmetry_space_group_name_Hall 'P 1'
loop_
_atom_site_label
_atom_site_type_symbol
_atom_site_fract_x
_atom_site_fract_y
_atom_site_fract_z
Pb1 Pb 0.640 0.140 0.000
Pb2 Pb 0.860 0.640 0.000
Pb3 Pb 0.140 0.360 0.000
Pb4 Pb 0.360 0.860 0.000
Sb1 Sb 0.500 0.500 0.000
Sb2 Sb 0.000 0.000 0.000
Tl1 Tl 0.834 0.334 0.500
Tl2 Tl 0.166 0.666 0.500
Tl3 Tl 0.666 0.834 0.500
Tl4 Tl 0.334 0.166 0.500
```

***

The structure with the greatest stability is Q.

***

P.
Density functional theory data (PBE-GGA) for a relaxed structure of TlSbPb3.

Size of the total moment   0.00 μB/cell
SG   No. 221

```
data_TlSbPb3
_cell_length_a 5.963
_cell_length_b 5.963
_cell_length_c 5.963
_cell_angle_alpha 90.00
_cell_angle_beta 90.00
_cell_angle_gamma 90.00
_symmetry_space_group_name_H-M 'P 1'
_symmetry_Int_Tables_number 1
_symmetry_space_group_name_Hall 'P 1'
loop_
_atom_site_label
_atom_site_type_symbol
_atom_site_fract_x
_atom_site_fract_y
_atom_site_fract_z
Sb1 Sb 0.000 0.000 0.000
Pb1 Pb 0.000 0.500 0.000
Pb2 Pb 0.500 0.000 0.000
Pb3 Pb 0.000 0.000 0.500
Tl1 Tl 0.500 0.500 0.500
```

***

Q.
Density functional theory data (PBE-GGA) for a relaxed structure of TlSbPb3.

Size of the total moment   0.00 μB/cell
SG   No. 14

```
data_TlSbPb3
_cell_length_a 6.799
_cell_length_b 8.840
_cell_length_c 10.957
_cell_angle_alpha 108.89
_cell_angle_beta 90.00
_cell_angle_gamma 90.00
_symmetry_space_group_name_H-M 'P 1'
_symmetry_Int_Tables_number 1
_symmetry_space_group_name_Hall 'P 1'
loop_
_atom_site_label
_atom_site_type_symbol
_atom_site_fract_x
_atom_site_fract_y
_atom_site_fract_z
Sb1 Sb 0.252 0.888 0.594
Sb2 Sb 0.752 0.112 0.906
Sb3 Sb 0.248 0.888 0.094
Sb4 Sb 0.748 0.112 0.406
Tl1 Tl 0.489 0.303 0.205
Tl2 Tl 0.011 0.303 0.705
Tl3 Tl 0.989 0.697 0.295
Tl4 Tl 0.511 0.697 0.795
Pb1 Pb 0.231 0.090 0.397
Pb2 Pb 0.751 0.492 0.497
Pb3 Pb 0.269 0.090 0.897
Pb4 Pb 0.489 0.720 0.314
Pb5 Pb 0.011 0.720 0.814
Pb6 Pb 0.249 0.508 0.503
Pb7 Pb 0.731 0.910 0.103
Pb8 Pb 0.511 0.280 0.686
Pb9 Pb 0.989 0.280 0.186
Pb10 Pb 0.749 0.492 0.997
Pb11 Pb 0.251 0.508 0.003
Pb12 Pb 0.769 0.910 0.603
```

***

The structure with the greatest stability is Q.